1.
DFT (PBE) results for a relaxed structure of CaPt2O4.

```
data_CaPt2O4
_chemical_formula_sum 'Ca2 Pt4 O8'
_space_group_name_H-M_alt 'P 1'
_space_group_IT_number 1
_cell_length_a 5.815
_cell_length_b 5.815
_cell_length_c 5.720
_cell_angle_alpha 90.00
_cell_angle_beta 90.00
_cell_angle_gamma 90.00
loop_
_space_group_symop_operation_xyz
'x,y,z'
loop_
_atom_site_label
_atom_site_type_symbol
_atom_site_fract_x
_atom_site_fract_y
_atom_site_fract_z
_atom_site_occupancy
O1 O 0.759 0.241 0.250 1
Pt1 Pt 0.000 0.758 0.000 1
O2 O 0.241 0.241 0.750 1
Pt2 Pt 0.758 0.000 0.500 1
O3 O 0.759 0.759 0.750 1
O4 O 0.241 0.241 0.250 1
Ca1 Ca 0.500 0.000 0.000 1
O5 O 0.241 0.759 0.250 1
O6 O 0.759 0.759 0.250 1
Pt3 Pt 0.242 0.000 0.500 1
O7 O 0.759 0.241 0.750 1
Ca2 Ca 0.000 0.500 0.500 1
O8 O 0.241 0.759 0.750 1
Pt4 Pt 0.000 0.242 0.000 1
```

Summary:
energy above the most stable polymorph in this dataset: 0.0 kJ per mole of atoms
Fermi-level density of states: 6.0 states/eV/f.u.
E_form (uncorrected): -114 kJ per mole of atoms
raw total energy: -6.028 eV/atom

---

2.
DFT (PBE) results for a relaxed structure of GaFe3H.

```
data_GaFe3H
_chemical_formula_sum 'Ga1 Fe3 H1'
_space_group_name_H-M_alt 'P 1'
_space_group_IT_number 1
_cell_length_a 3.378
_cell_length_b 3.378
_cell_length_c 6.242
_cell_angle_alpha 90.00
_cell_angle_beta 90.00
_cell_angle_gamma 90.00
loop_
_space_group_symop_operation_xyz
'x,y,z'
loop_
_atom_site_label
_atom_site_type_symbol
_atom_site_fract_x
_atom_site_fract_y
_atom_site_fract_z
_atom_site_occupancy
Fe1 Fe 0.000 0.500 0.475 1
Ga1 Ga 0.000 0.000 0.157 1
Fe2 Fe 0.500 0.000 0.475 1
H1 H 0.500 0.500 0.391 1
Fe3 Fe 0.000 0.000 0.765 1
```

Summary:
Fermi-level density of states: 3.7 states/eV/f.u.
raw total energy: -5.931 eV/atom

---

3.
DFT (PBE) results for a relaxed structure of NaMgB2O4.

```
data_NaMgB2O4
_chemical_formula_sum 'Na1 Mg1 B2 O4'
_space_group_name_H-M_alt 'P 1'
_space_group_IT_number 1
_cell_length_a 5.156
_cell_length_b 5.377
_cell_length_c 5.377
_cell_angle_alpha 74.19
_cell_angle_beta 61.35
_cell_angle_gamma 61.35
loop_
_space_group_symop_operation_xyz
'x,y,z'
loop_
_atom_site_label
_atom_site_type_symbol
_atom_site_fract_x
_atom_site_fract_y
_atom_site_fract_z
_atom_site_occupancy
B1 B 0.500 0.654 0.346 1
O1 O 0.212 0.775 0.338 1
Mg1 Mg 0.000 0.500 0.500 1
O2 O 0.675 0.338 0.775 1
O3 O 0.788 0.662 0.225 1
Na1 Na 0.000 0.000 0.000 1
O4 O 0.325 0.225 0.662 1
B2 B 0.500 0.346 0.654 1
```

Summary:
Fermi-level density of states: 1.8 states/eV/f.u.
E_form (uncorrected): -192 kJ per mole of atoms
raw total energy: -6.501 eV/atom

---

4.
DFT (PBE) results for a relaxed structure of Tb2Tm2Ni15.

```
data_Tb2Tm2Ni15
_chemical_formula_sum 'Tb2 Tm2 Ni15'
_space_group_name_H-M_alt 'P 1'
_space_group_IT_number 1
_cell_length_a 6.460
_cell_length_b 6.460
_cell_length_c 6.460
_cell_angle_alpha 82.30
_cell_angle_beta 82.30
_cell_angle_gamma 82.30
loop_
_space_group_symop_operation_xyz
'x,y,z'
loop_
_atom_site_label
_atom_site_type_symbol
_atom_site_fract_x
_atom_site_fract_y
_atom_site_fract_z
_atom_site_occupancy
Ni1 Ni 0.000 0.000 0.500 1
Ni2 Ni 0.000 0.500 0.000 1
Ni3 Ni 0.348 0.834 0.348 1
Tm1 Tm 0.889 0.889 0.889 1
Ni4 Ni 0.652 0.166 0.652 1
Ni5 Ni 0.692 0.308 0.000 1
Tm2 Tm 0.111 0.111 0.111 1
Ni6 Ni 0.308 0.692 0.000 1
Ni7 Ni 0.834 0.348 0.348 1
Ni8 Ni 0.500 0.000 0.000 1
Ni9 Ni 0.166 0.652 0.652 1
Ni10 Ni 0.000 0.692 0.308 1
Ni11 Ni 0.348 0.348 0.834 1
Ni12 Ni 0.000 0.308 0.692 1
Tb1 Tb 0.640 0.640 0.640 1
Ni13 Ni 0.692 0.000 0.308 1
Ni14 Ni 0.308 0.000 0.692 1
Tb2 Tb 0.360 0.360 0.360 1
Ni15 Ni 0.652 0.652 0.166 1
```

Summary:
DFT formation energy: -5.0 eV/f.u.
Fermi-level density of states: 26.1 states/eV/f.u.
raw total energy: -5.783 eV/atom